Computed, not measured: an optimized crystal structure of LaNdCd at the PBE-GGA level of DFT.

Computed properties:
**DOS(E_F)**: 1.156 states/eV per atom
**Electronic total energy**: -3.738 eV per atom
**Distance to the lowest polymorph of the same formula**: 0.000 eV/atom
**Formation energy from the elements**: -0.605 eV/f.u.

Lattice parameters (Å, degrees): 7.053 7.053 7.053 148.37 148.37 45.34
Atoms (fractional coordinates):
La1 0.000 0.000 0.000
Nd1 0.306 0.306 0.000
Cd1 0.659 0.659 0.000